[1]
Computed, not measured: a relaxed structure of Na2AcAlSe4 at the PBE level of DFT.

Results
**E_form (uncorrected)**: -1249 meV per atom
**Final energy**: -4.302 eV/atom
**Space group**: No. 74

Cell lengths 8.4474, 8.4474, 8.9494 Å; angles 122.00, 122.00, 89.65 degrees
Closest atoms and distances in Å follow each position.
Fractional coordinates of all 16 atoms:
Na (0.5000, 0.0000, 0.5000)  6 Se 2.94-2.95
Na (0.5000, 0.0000, 0.0000)  6 Se 2.94-2.95
Na (0.5000, 0.5000, 0.0000)  6 Se 3.11-3.37
Na (0.0000, 0.0000, 0.5000)  6 Se 3.11-3.37
Se (0.2481, 0.7697, 0.0090)  1 Al 2.85, 3 Na 2.95-3.11, 2 Ac 3.05
Se (0.2568, 0.2434, 0.4467)  2 Al 2.66, 1 Na 2.94
Se (0.2566, 0.2432, 0.0533)  2 Al 2.66, 1 Na 2.94
Se (0.2697, 0.7481, 0.5090)  1 Al 2.85, 3 Na 2.95-3.11, 2 Ac 3.05
Se (0.7519, 0.2303, 0.9910)  1 Al 2.85, 3 Na 2.95-3.11, 2 Ac 3.05
Se (0.7432, 0.7566, 0.5533)  2 Al 2.66, 1 Na 2.94
Se (0.7303, 0.2519, 0.4910)  1 Al 2.85, 3 Na 2.95-3.11, 2 Ac 3.05
Se (0.7434, 0.7568, 0.9467)  2 Al 2.66, 1 Na 2.94
Al (0.5000, 0.5000, 0.5000)  6 Se 2.66-2.85
Al (0.0000, 0.0000, 0.0000)  6 Se 2.66-2.85
Ac (0.0000, 0.5000, 0.0000)  6 Se 3.05-3.09
Ac (0.0000, 0.5000, 0.5000)  6 Se 3.05-3.09

---

[2]
Computed, not measured: a relaxed structure of Pm2OsO8 at the PBE level of DFT.

Results
**E_form (uncorrected)**: -1570 meV per atom
**Final energy**: -7.060 eV/atom
**Space group**: No. 12

Cell lengths 3.7148, 4.8501, 8.1730 Å; angles 107.24, 103.14, 90.00 degrees
Closest atoms and distances in Å follow each position.
Fractional coordinates of all 11 atoms:
O (0.4256, 0.5904, 0.8511)  1 Os 1.98, 2 O 2.07
O (0.2328, 0.2446, 0.4657)  3 Pm 2.30-2.48
O (0.7672, 0.7554, 0.5343)  3 Pm 2.30-2.48
O (0.6012, 0.9076, 0.2024)  1 Os 1.80
O (0.5744, 0.4096, 0.1489)  1 Os 1.98, 2 O 2.07
O (0.9639, 0.7747, 0.9278)  3 O 2.07-2.14, 2 Os 2.14
O (0.0361, 0.2253, 0.0722)  3 O 2.07-2.14, 2 Os 2.14
O (0.3988, 0.0924, 0.7976)  1 Os 1.80
Os (0.5000, 0.0000, 0.0000)  4 O 1.80-1.98
Pm (0.8221, 0.3281, 0.6442)  5 O 2.30-2.55
Pm (0.1779, 0.6719, 0.3558)  5 O 2.30-2.55

---

[3]
Computed, not measured: a relaxed structure of HfNiAu3 at the PBE level of DFT.

Results
**Formation energy from the elements**: 1.13 eV/atom
**Final energy**: -3.978 eV/atom
**Space group**: No. 221
**E above lowest polymorph**: 1.458 eV per atom

Cell lengths 5.1628, 5.1628, 5.1628 Å; angles 90.00, 90.00, 90.00 degrees
Closest atoms and distances in Å follow each position.
Fractional coordinates of all 5 atoms:
Au (0.0000, 0.5000, 0.0000)  2 Hf 2.58
Au (0.5000, 0.0000, 0.0000)  2 Hf 2.58
Au (0.0000, 0.0000, 0.5000)  2 Hf 2.58
Hf (0.0000, 0.0000, 0.0000)  6 Au 2.58
Ni (0.5000, 0.5000, 0.5000)  12 Au 3.65

---

[4]
Computed, not measured: a relaxed structure of CrCdSb at the PBE level of DFT.

Results
**E_form (uncorrected)**: 401 meV per atom
**Final energy**: -4.486 eV/atom
**Space group**: No. 156
**E above lowest polymorph**: 0.211 eV per atom

Cell lengths 4.4355, 4.4355, 4.1235 Å; angles 90.00, 90.00, 120.00 degrees
Closest atoms and distances in Å follow each position.
Fractional coordinates of all 3 atoms:
Cr (0.6667, 0.3333, 0.3639)  3 Sb 2.75, 3 Cd 2.91
Cd (0.0000, 0.0000, 0.0262)  3 Cr 2.91, 3 Sb 3.08
Sb (0.3333, 0.6667, 0.6099)  3 Cr 2.75, 3 Cd 3.08

---

[5]
Computed, not measured: a relaxed structure of Pr2HgAs at the PBE level of DFT.

Results
**Formation energy from the elements**: -0.93 eV/atom
**Final energy**: -4.554 eV/atom
**Space group**: No. 166
**E above lowest polymorph**: 0.000 eV per atom

Cell lengths 4.2661, 4.2661, 8.0904 Å; angles 74.71, 74.71, 60.00 degrees
Closest atoms and distances in Å follow each position.
Fractional coordinates of all 4 atoms:
As (0.0000, 0.0000, 0.0000)  6 Pr 2.98
Pr (0.7392, 0.7392, 0.7823)  3 As 2.98, 3 Hg 3.29
Pr (0.2608, 0.2608, 0.2177)  3 As 2.98, 3 Hg 3.29
Hg (0.5000, 0.5000, 0.5000)  6 Pr 3.29

---

[6]
Computed, not measured: a relaxed structure of CaZrCdCo2 at the PBE level of DFT.

Results
**Formation energy from the elements**: 1.17 eV/atom
**Final energy**: -3.965 eV/atom
**Space group**: No. 123

Cell lengths 4.8748, 4.8748, 5.1995 Å; angles 90.00, 90.00, 90.00 degrees
Closest atoms and distances in Å follow each position.
Fractional coordinates of all 5 atoms:
Co (0.5000, 0.0000, 0.0000)  2 Cd 2.44
Co (0.0000, 0.5000, 0.0000)  2 Cd 2.44
Cd (0.0000, 0.0000, 0.0000)  4 Co 2.44, 2 Zr 2.60
Ca (0.5000, 0.5000, 0.5000)  4 Zr 3.45, 8 Co 3.56
Zr (0.0000, 0.0000, 0.5000)  2 Cd 2.60

---

[7]
Computed, not measured: a relaxed structure of ScSi2Pb at the PBE level of DFT.

Results
**E_form (uncorrected)**: 77 meV per atom
**Final energy**: -5.144 eV/atom
**Space group**: No. 139

Cell lengths 5.3090, 5.3090, 5.3090 Å; angles 132.42, 132.42, 69.56 degrees
Closest atoms and distances in Å follow each position.
Fractional coordinates of all 4 atoms:
Sc (0.7500, 0.2500, 0.5000)  4 Pb 3.03, 8 Si 3.06
Pb (0.2500, 0.7500, 0.5000)  4 Sc 3.03, 8 Si 3.06
Si (0.0000, 0.0000, 0.0000)  4 Si 3.03, 4 Pb 3.06, 4 Sc 3.06
Si (0.5000, 0.5000, 0.0000)  4 Si 3.03, 4 Sc 3.06, 4 Pb 3.06

---

[8]
Computed, not measured: a relaxed structure of Sm3AgN at the PBE level of DFT.

Results
**E_form (uncorrected)**: -689 meV per atom
**Final energy**: -5.756 eV/atom
**Space group**: No. 11
**E above lowest polymorph**: 0.016 eV per atom

Cell lengths 3.6665, 6.9106, 9.7113 Å; angles 90.00, 90.00, 105.50 degrees
Closest atoms and distances in Å follow each position.
Fractional coordinates of all 10 atoms:
Ag (0.2467, 0.4975, 0.7500)  8 Sm 3.15-3.41
Ag (0.7533, 0.5025, 0.2500)  8 Sm 3.15-3.41
Sm (0.1225, 0.2425, 0.4452)  2 N 2.50
Sm (0.4473, 0.8939, 0.2500)  2 N 2.53
Sm (0.8775, 0.7575, 0.9452)  2 N 2.50
Sm (0.1225, 0.2425, 0.0548)  2 N 2.50
Sm (0.8775, 0.7575, 0.5548)  2 N 2.50
Sm (0.5527, 0.1061, 0.7500)  2 N 2.53
N (0.5000, 0.0000, 0.5000)  6 Sm 2.50-2.53
N (0.5000, 0.0000, 0.0000)  6 Sm 2.50-2.53

---

[9]
Computed, not measured: a relaxed structure of ScPdF at the PBE level of DFT.

Results
**E_form (uncorrected)**: -2066 meV per atom
**Final energy**: -6.531 eV/atom
**Space group**: No. 129

Cell lengths 3.4442, 3.4442, 7.3511 Å; angles 90.00, 90.00, 90.00 degrees
Closest atoms and distances in Å follow each position.
Fractional coordinates of all 6 atoms:
Sc (0.0000, 0.5000, 0.8009)  4 F 2.26
Sc (0.5000, 0.0000, 0.1991)  4 F 2.26
Pd (0.5000, 0.0000, 0.6019)  5 Sc 2.84-2.96, 4 Pd 2.86
Pd (0.0000, 0.5000, 0.3981)  5 Sc 2.84-2.96, 4 Pd 2.86
F (0.5000, 0.5000, 0.0000)  4 Sc 2.26, 4 F 2.44
F (0.0000, 0.0000, 0.0000)  4 Sc 2.26, 4 F 2.44

---

[10]
Computed, not measured: a relaxed structure of KMnCr2Br8 at the PBE level of DFT.

Results
**E_form (uncorrected)**: -784 meV per atom
**Final energy**: -4.358 eV/atom
**Space group**: No. 10

Cell lengths 6.7067, 6.4132, 8.1314 Å; angles 89.98, 89.99, 85.91 degrees
Closest atoms and distances in Å follow each position.
Fractional coordinates of all 12 atoms:
Br (0.8219, 0.2509, 0.2172)  1 Cr 2.60, 1 Mn 2.62
Br (0.8221, 0.2510, 0.7828)  1 Cr 2.60, 1 Mn 2.62
Br (0.1779, 0.7490, 0.2172)  1 Cr 2.60, 1 Mn 2.62
Br (0.6517, 0.7196, 0.0000)  2 Cr 2.66
Br (0.3483, 0.2804, 0.0000)  2 Cr 2.66
Br (0.6320, 0.7015, 0.5000)  2 Cr 2.66
Br (0.3680, 0.2985, 0.5000)  2 Cr 2.66
Br (0.1781, 0.7491, 0.7828)  1 Cr 2.60, 1 Mn 2.62
Cr (0.5000, 0.5000, 0.7592)  6 Br 2.60-2.66
Cr (0.5000, 0.5000, 0.2408)  6 Br 2.60-2.66
Mn (0.0000, 0.0000, 0.0000)  4 Br 2.62
K (0.0000, 0.0000, 0.5000)  6 Br 3.00-3.23